# 1
A plane-wave DFT calculation with GGA-PBE was carried out for a relaxed CrPb2Au crystal.

Values from the calculation:
**DOS(E_F)**: 1.8 states/eV/cell
**Energy**: -18.9 eV for the cell shown
**Distance to the lowest polymorph of the same formula**: 15.1 kJ/mol of atoms

a b c (Å): 3.7326 3.7326 6.7898
angles (deg): 90.00 90.00 90.10
Fractional coordinates of all 4 atoms:
1 Cr 0.0000 0.0000 0.0000
2 Pb 0.5000 0.5000 0.2514
3 Pb 0.5000 0.5000 0.7486
4 Au 0.0000 0.0000 0.5000

# 2
A plane-wave DFT calculation with GGA-PBE was carried out for a relaxed Cr2PbAu crystal.

Values from the calculation:
**DOS(E_F)**: 3.7 states/eV/cell
**Energy**: -23.9 eV for the cell shown

a b c (Å): 8.6184 8.6184 8.6184
angles (deg): 22.49 22.49 22.49
Fractional coordinates of all 4 atoms:
1 Cr 0.2447 0.2447 0.2447
2 Cr 0.7553 0.7553 0.7553
3 Pb 0.0000 0.0000 0.0000
4 Au 0.5000 0.5000 0.5000

# 3
A plane-wave DFT calculation with GGA-PBE was carried out for a relaxed CrPb2Au crystal.

Values from the calculation:
**DOS(E_F)**: 2.6 states/eV/cell
**Energy**: -19.4 eV for the cell shown
**Distance to the lowest polymorph of the same formula**: 4.7 kJ/mol of atoms

a b c (Å): 3.8041 4.4790 5.8581
angles (deg): 90.00 108.85 90.00
Fractional coordinates of all 4 atoms:
1 Cr 0.0000 0.0000 0.0000
2 Pb 0.2722 0.0000 0.5412
3 Pb 0.5718 0.5000 0.1446
4 Au 0.8502 0.5000 0.6987

# 4
A plane-wave DFT calculation with GGA-PBE was carried out for a relaxed CrPb2Au crystal.

Values from the calculation:
**DOS(E_F)**: 2.2 states/eV/cell
**Energy**: -19.0 eV for the cell shown
**Distance to the lowest polymorph of the same formula**: 12.9 kJ/mol of atoms

a b c (Å): 5.7311 5.7311 5.7311
angles (deg): 134.88 134.88 65.72
Fractional coordinates of all 4 atoms:
1 Cr 0.0000 0.0000 0.0000
2 Pb 0.2500 0.7500 0.5000
3 Pb 0.5000 0.5000 0.0000
4 Au 0.7500 0.2500 0.5000

# 5
A plane-wave DFT calculation with GGA-PBE was carried out for a relaxed CrPb2Au crystal.

Values from the calculation:
**DOS(E_F)**: 2.7 states/eV/cell
**Energy**: -18.7 eV for the cell shown
**Distance to the lowest polymorph of the same formula**: 21.4 kJ/mol of atoms

a b c (Å): 9.0089 9.0089 9.0089
angles (deg): 23.00 23.00 23.00
Fractional coordinates of all 4 atoms:
1 Cr 0.0000 0.0000 0.0000
2 Pb 0.2491 0.2491 0.2491
3 Pb 0.7509 0.7509 0.7509
4 Au 0.5000 0.5000 0.5000

# 6
A plane-wave DFT calculation with GGA-PBE was carried out for a relaxed CrPb2Au crystal.

Values from the calculation:
**DOS(E_F)**: 2.9 states/eV/cell
**Energy**: -19.2 eV for the cell shown
**Distance to the lowest polymorph of the same formula**: 10.1 kJ/mol of atoms

a b c (Å): 9.9955 9.9955 9.9955
angles (deg): 19.64 19.64 19.64
Fractional coordinates of all 4 atoms:
1 Cr 0.0000 0.0000 0.0000
2 Pb 0.5225 0.5225 0.5225
3 Pb 0.7463 0.7463 0.7463
4 Au 0.2705 0.2705 0.2705

# 7
A plane-wave DFT calculation with GGA-PBE was carried out for a relaxed Cr2PbAu crystal.

Values from the calculation:
**DOS(E_F)**: 1.9 states/eV/cell
**Energy**: -24.4 eV for the cell shown

a b c (Å): 9.2507 9.2507 9.2507
angles (deg): 19.24 19.24 19.24
Fractional coordinates of all 4 atoms:
1 Cr 0.0000 0.0000 0.0000
2 Cr 0.2742 0.2742 0.2742
3 Pb 0.7621 0.7621 0.7621
4 Au 0.5289 0.5289 0.5289

# 8
A plane-wave DFT calculation with GGA-PBE was carried out for a relaxed Cr2PbAu crystal.

Values from the calculation:
**DOS(E_F)**: 1.3 states/eV/cell
**Energy**: -24.5 eV for the cell shown

a b c (Å): 4.3924 4.3924 3.8544
angles (deg): 90.00 90.00 90.00
Fractional coordinates of all 4 atoms:
1 Cr 0.0000 0.5000 0.0000
2 Cr 0.5000 0.0000 0.0000
3 Pb 0.0000 0.0000 0.5000
4 Au 0.5000 0.5000 0.5000

# 9
A plane-wave DFT calculation with GGA-PBE was carried out for a relaxed CrPbAu crystal.

Values from the calculation:
**DOS(E_F)**: 2.1 states/eV/cell
**Energy**: -15.5 eV for the cell shown

a b c (Å): 4.6170 4.6170 3.5476
angles (deg): 90.00 90.00 120.00
Fractional coordinates of all 3 atoms:
1 Cr 0.0000 0.0000 0.0000
2 Pb 0.6667 0.3333 0.4214
3 Au 0.3333 0.6667 0.8066

# 10
A plane-wave DFT calculation with GGA-PBE was carried out for a relaxed CrPb2Au crystal.

Values from the calculation:
**DOS(E_F)**: 2.3 states/eV/cell
**Energy**: -19.3 eV for the cell shown
**Distance to the lowest polymorph of the same formula**: 6.7 kJ/mol of atoms

a b c (Å): 5.8662 5.8662 5.2125
angles (deg): 109.13 109.13 33.68
Fractional coordinates of all 4 atoms:
1 Cr 0.0000 0.0000 0.0000
2 Pb 0.2496 0.2496 0.8289
3 Pb 0.4602 0.4602 0.4763
4 Au 0.6951 0.6951 0.2844

# 11
A plane-wave DFT calculation with GGA-PBE was carried out for a relaxed CrPb2Au crystal.

Values from the calculation:
**DOS(E_F)**: 2.0 states/eV/cell
**Energy**: -19.3 eV for the cell shown
**Distance to the lowest polymorph of the same formula**: 7.2 kJ/mol of atoms

a b c (Å): 6.1817 6.1817 6.1817
angles (deg): 147.44 131.62 59.54
Fractional coordinates of all 4 atoms:
1 Cr 0.0000 0.0000 0.0000
2 Pb 0.2482 0.7482 0.5000
3 Pb 0.5360 0.5360 0.0000
4 Au 0.8018 0.3018 0.5000

# 12
A plane-wave DFT calculation with GGA-PBE was carried out for a relaxed CrPb3Au crystal.

Values from the calculation:
**DOS(E_F)**: 1.5 states/eV/cell
**Energy**: -21.8 eV for the cell shown
**Distance to the lowest polymorph of the same formula**: 0.0 kJ/mol of atoms

a b c (Å): 5.1875 5.1875 5.1875
angles (deg): 90.00 90.00 90.00
Fractional coordinates of all 5 atoms:
1 Cr 0.0000 0.0000 0.0000
2 Pb 0.0000 0.0000 0.5000
3 Pb 0.0000 0.5000 0.0000
4 Pb 0.5000 0.0000 0.0000
5 Au 0.5000 0.5000 0.5000

# 13
A plane-wave DFT calculation with GGA-PBE was carried out for a relaxed SrCr2PbAu crystal.

Values from the calculation:
**DOS(E_F)**: 2.9 states/eV/cell
**Energy**: -20.5 eV for the cell shown

a b c (Å): 5.6925 5.6925 5.4476
angles (deg): 90.00 90.00 90.00
Fractional coordinates of all 5 atoms:
1 Sr 0.0000 0.0000 0.0000
2 Cr 0.0000 0.5000 0.0000
3 Cr 0.5000 0.0000 0.0000
4 Pb 0.5000 0.5000 0.5000
5 Au 0.0000 0.0000 0.5000

# 14
A plane-wave DFT calculation with GGA-PBE was carried out for a relaxed TaCrPbAu2 crystal.

Values from the calculation:
**DOS(E_F)**: 3.7 states/eV/cell
**Energy**: -27.1 eV for the cell shown

a b c (Å): 5.2290 5.2290 4.5971
angles (deg): 90.00 90.00 90.00
Fractional coordinates of all 5 atoms:
1 Ta 0.0000 0.0000 0.0000
2 Cr 0.0000 0.0000 0.5000
3 Pb 0.5000 0.5000 0.5000
4 Au 0.0000 0.5000 0.0000
5 Au 0.5000 0.0000 0.0000

# 15
A plane-wave DFT calculation with GGA-PBE was carried out for a relaxed Ti2CrPbAu crystal.

Values from the calculation:
**DOS(E_F)**: 6.3 states/eV/cell
**Energy**: -28.9 eV for the cell shown

a b c (Å): 4.9253 4.9253 4.9443
angles (deg): 90.00 90.00 90.00
Fractional coordinates of all 5 atoms:
1 Ti 0.0000 0.5000 0.0000
2 Ti 0.5000 0.0000 0.0000
3 Cr 0.0000 0.0000 0.5000
4 Pb 0.5000 0.5000 0.5000
5 Au 0.0000 0.0000 0.0000

# 16
A plane-wave DFT calculation with GGA-PBE was carried out for a relaxed CrPd4Au3 crystal.

Values from the calculation:
**DOS(E_F)**: 15.6 states/eV/cell
**Energy**: -81.5 eV for the cell shown

a b c (Å): 9.2678 5.8491 4.8071
angles (deg): 90.00 90.00 90.00
Fractional coordinates of all 16 atoms:
1 Cr 0.0000 0.0000 0.0000
2 Cr 0.5000 0.0000 0.0000
3 Pd 0.0000 0.2425 0.5000
4 Pd 0.0000 0.7575 0.5000
5 Pd 0.2500 0.2443 0.1385
6 Pd 0.2500 0.7557 0.1385
7 Pd 0.5000 0.2425 0.5000
8 Pd 0.5000 0.7575 0.5000
9 Pd 0.7500 0.2443 0.8615
10 Pd 0.7500 0.7557 0.8615
11 Au 0.0000 0.5000 0.0000
12 Au 0.2500 0.0000 0.6394
13 Au 0.2500 0.5000 0.6365
14 Au 0.5000 0.5000 0.0000
15 Au 0.7500 0.0000 0.3606
16 Au 0.7500 0.5000 0.3635

# 17
A plane-wave DFT calculation with GGA-PBE was carried out for a relaxed Cr2Pd7Au2 crystal.

Values from the calculation:
**DOS(E_F)**: 13.0 states/eV/cell
**Energy**: -60.8 eV for the cell shown

a b c (Å): 5.4921 5.4921 7.0633
angles (deg): 95.68 95.68 120.37
Fractional coordinates of all 11 atoms:
1 Cr 0.2215 0.7785 0.0000
2 Cr 0.7785 0.2215 0.0000
3 Pd 0.0631 0.5305 0.3196
4 Pd 0.3157 0.3157 0.0922
5 Pd 0.4695 0.9369 0.6804
6 Pd 0.5000 0.5000 0.5000
7 Pd 0.5305 0.0631 0.3196
8 Pd 0.6843 0.6843 0.9078
9 Pd 0.9369 0.4695 0.6804
10 Au 0.0664 0.0664 0.7036
11 Au 0.9336 0.9336 0.2964

# 18
A plane-wave DFT calculation with GGA-PBE was carried out for a relaxed CrPd8Au6 crystal.

Values from the calculation:
**DOS(E_F)**: 10.6 states/eV/cell
**Energy**: -69.9 eV for the cell shown
**Distance to the lowest polymorph of the same formula**: 0.6 kJ/mol of atoms

a b c (Å): 7.6316 7.6316 5.0130
angles (deg): 90.00 90.00 120.00
Fractional coordinates of all 15 atoms:
1 Cr 0.0000 0.0000 0.0000
2 Pd 0.0515 0.2669 0.2943
3 Pd 0.2153 0.9485 0.2943
4 Pd 0.2669 0.2153 0.7057
5 Pd 0.3333 0.6667 0.2837
6 Pd 0.6667 0.3333 0.7163
7 Pd 0.7331 0.7847 0.2943
8 Pd 0.7847 0.0515 0.7057
9 Pd 0.9485 0.7331 0.7057
10 Au 0.0999 0.4650 0.7850
11 Au 0.3652 0.9001 0.7850
12 Au 0.4650 0.3652 0.2150
13 Au 0.5350 0.6348 0.7850
14 Au 0.6348 0.0999 0.2150
15 Au 0.9001 0.5350 0.2150

# 19
A plane-wave DFT calculation with GGA-PBE was carried out for a relaxed CrPd8Au6 crystal.

Values from the calculation:
**DOS(E_F)**: 9.4 states/eV/cell
**Energy**: -70.0 eV for the cell shown
**Distance to the lowest polymorph of the same formula**: 0.0 kJ/mol of atoms

a b c (Å): 6.5906 6.5906 6.5906
angles (deg): 72.18 72.18 72.18
Fractional coordinates of all 15 atoms:
1 Cr 0.0000 0.0000 0.0000
2 Pd 0.0474 0.8722 0.3610
3 Pd 0.1278 0.6390 0.9526
4 Pd 0.2430 0.2430 0.2430
5 Pd 0.3610 0.0474 0.8722
6 Pd 0.6390 0.9526 0.1278
7 Pd 0.7570 0.7570 0.7570
8 Pd 0.8722 0.3610 0.0474
9 Pd 0.9526 0.1278 0.6390
10 Au 0.1767 0.4421 0.6117
11 Au 0.3883 0.8233 0.5579
12 Au 0.4421 0.6117 0.1767
13 Au 0.5579 0.3883 0.8233
14 Au 0.6117 0.1767 0.4421
15 Au 0.8233 0.5579 0.3883

# 20
A plane-wave DFT calculation with GGA-PBE was carried out for a relaxed CrPd6Au2 crystal.

Values from the calculation:
**DOS(E_F)**: 14.1 states/eV/cell
**Energy**: -47.9 eV for the cell shown
**Distance to the lowest polymorph of the same formula**: 0.0 kJ/mol of atoms

a b c (Å): 4.8619 4.8619 8.4014
angles (deg): 106.04 106.04 48.68
Fractional coordinates of all 9 atoms:
1 Cr 0.0000 0.0000 0.0000
2 Pd 0.9999 0.9999 0.3295
3 Pd 0.0001 0.0001 0.6705
4 Pd 0.3344 0.3344 0.1083
5 Pd 0.3350 0.3350 0.4447
6 Pd 0.6650 0.6650 0.5553
7 Pd 0.6656 0.6656 0.8917
8 Au 0.3331 0.3331 0.7782
9 Au 0.6669 0.6669 0.2218

# 21
A plane-wave DFT calculation with GGA-PBE was carried out for a relaxed CrPd6Au crystal.

Values from the calculation:
**DOS(E_F)**: 14.0 states/eV/cell
**Energy**: -44.6 eV for the cell shown
**Distance to the lowest polymorph of the same formula**: 0.0 kJ/mol of atoms

a b c (Å): 3.9447 3.9447 7.9329
angles (deg): 90.00 90.00 90.00
Fractional coordinates of all 8 atoms:
1 Cr 0.0000 0.0000 0.0000
2 Pd 0.0000 0.5000 0.2388
3 Pd 0.0000 0.5000 0.7612
4 Pd 0.5000 0.0000 0.2388
5 Pd 0.5000 0.0000 0.7612
6 Pd 0.5000 0.5000 0.0000
7 Pd 0.5000 0.5000 0.5000
8 Au 0.0000 0.0000 0.5000

# 22
A plane-wave DFT calculation with GGA-PBE was carried out for a relaxed CrPd3Au2 crystal.

Values from the calculation:
**DOS(E_F)**: 10.8 states/eV/cell
**Energy**: -64.3 eV for the cell shown

a b c (Å): 6.4557 6.4557 7.7018
angles (deg): 90.00 90.00 143.14
Fractional coordinates of all 12 atoms:
1 Cr 0.1614 0.8386 0.0000
2 Cr 0.8386 0.1614 0.0000
3 Pd 0.0000 0.0000 0.2439
4 Pd 0.0000 0.0000 0.7561
5 Pd 0.3285 0.6715 0.2308
6 Pd 0.3285 0.6715 0.7692
7 Pd 0.6715 0.3285 0.2308
8 Pd 0.6715 0.3285 0.7692
9 Au 0.1677 0.8323 0.5000
10 Au 0.5000 0.5000 0.0000
11 Au 0.5000 0.5000 0.5000
12 Au 0.8323 0.1677 0.5000

# 23
A plane-wave DFT calculation with GGA-PBE was carried out for a relaxed CrPd3Au3 crystal.

Values from the calculation:
**DOS(E_F)**: 11.8 states/eV/cell
**Energy**: -69.3 eV for the cell shown

a b c (Å): 5.6142 5.6142 7.7984
angles (deg): 90.00 90.00 96.29
Fractional coordinates of all 14 atoms:
1 Cr 0.2205 0.7795 0.0000
2 Cr 0.7795 0.2205 0.0000
3 Pd 0.0000 0.0000 0.2336
4 Pd 0.0000 0.0000 0.7664
5 Pd 0.0000 0.5000 0.2345
6 Pd 0.0000 0.5000 0.7655
7 Pd 0.5000 0.0000 0.2345
8 Pd 0.5000 0.0000 0.7655
9 Au 0.2448 0.7552 0.5000
10 Au 0.2661 0.2661 0.5000
11 Au 0.3036 0.3036 0.0000
12 Au 0.6964 0.6964 0.0000
13 Au 0.7339 0.7339 0.5000
14 Au 0.7552 0.2448 0.5000

# 24
A plane-wave DFT calculation with GGA-PBE was carried out for a relaxed CrPd6Au5 crystal.

Values from the calculation:
**DOS(E_F)**: 10.7 states/eV/cell
**Energy**: -58.1 eV for the cell shown

a b c (Å): 4.8440 5.8118 6.9811
angles (deg): 90.00 93.13 90.00
Fractional coordinates of all 12 atoms:
1 Cr 0.0000 0.0000 0.0000
2 Pd 0.1640 0.2461 0.3261
3 Pd 0.1640 0.7539 0.3261
4 Pd 0.5000 0.2431 0.0000
5 Pd 0.5000 0.7569 0.0000
6 Pd 0.8360 0.2461 0.6739
7 Pd 0.8360 0.7539 0.6739
8 Au 0.0000 0.5000 0.0000
9 Au 0.3308 0.0000 0.6672
10 Au 0.3342 0.5000 0.6665
11 Au 0.6658 0.5000 0.3335
12 Au 0.6692 0.0000 0.3328

# 25
A plane-wave DFT calculation with GGA-PBE was carried out for a relaxed CrPd5Au8 crystal.

Values from the calculation:
**DOS(E_F)**: 9.3 states/eV/cell
**Energy**: -60.4 eV for the cell shown

a b c (Å): 6.8815 6.8815 6.8815
angles (deg): 109.22 109.22 109.98
Fractional coordinates of all 14 atoms:
1 Cr 0.0000 0.0000 0.0000
2 Pd 0.2127 0.5171 0.9136
3 Pd 0.2500 0.7500 0.5000
4 Pd 0.4829 0.3965 0.6956
5 Pd 0.6035 0.2991 0.0864
6 Pd 0.7009 0.7873 0.3044
7 Au 0.1368 0.0641 0.7034
8 Au 0.3607 0.4334 0.2966
9 Au 0.4123 0.0161 0.2735
10 Au 0.5666 0.8632 0.9273
11 Au 0.7427 0.1389 0.7265
12 Au 0.8611 0.5877 0.6038
13 Au 0.9359 0.6393 0.0727
14 Au 0.9839 0.2573 0.3962